[1]
Pa4Al6Os7 | PBE-GGA | relaxed

CIF file:
```
data_Pa4Al6Os7
_symmetry_space_group_name_H-M 'I m -3 m'
_symmetry_Int_Tables_number 229
_symmetry_space_group_name_Hall '-I 4 2 3'
_cell_length_a 8.406
_cell_length_b 8.406
_cell_length_c 8.406
_cell_angle_alpha 90.00
_cell_angle_beta 90.00
_cell_angle_gamma 90.00
loop_
_atom_site_label
_atom_site_fract_x
_atom_site_fract_y
_atom_site_fract_z
Pa1 0.250 0.250 0.250
Al1 0.000 0.000 0.309
Os1 0.000 0.000 0.000
Os2 0.000 0.250 0.500
```

Energy of formation, eV/atom: -0.486
DOS at the Fermi energy, states/eV per atom: 0.54
Crystal system: cubic


[2]
ErInHgAu | PBE-GGA | relaxed

CIF file:
```
data_ErInHgAu
_symmetry_space_group_name_H-M 'F -4 3 m'
_symmetry_Int_Tables_number 216
_symmetry_space_group_name_Hall 'F -4 2 3'
_cell_length_a 7.106
_cell_length_b 7.106
_cell_length_c 7.106
_cell_angle_alpha 90.00
_cell_angle_beta 90.00
_cell_angle_gamma 90.00
loop_
_atom_site_label
_atom_site_fract_x
_atom_site_fract_y
_atom_site_fract_z
Er1 0.000 0.000 0.000
In1 0.000 0.000 0.500
Hg1 0.250 0.250 0.250
Au1 0.250 0.250 0.750
```

Energy of formation, eV/atom: -0.507
DOS at the Fermi energy, states/eV per atom: 0.54
Crystal system: cubic


[3]
NbVFeRh | PBE-GGA | relaxed

CIF file:
```
data_NbVFeRh
_symmetry_space_group_name_H-M 'F -4 3 m'
_symmetry_Int_Tables_number 216
_symmetry_space_group_name_Hall 'F -4 2 3'
_cell_length_a 6.136
_cell_length_b 6.136
_cell_length_c 6.136
_cell_angle_alpha 90.00
_cell_angle_beta 90.00
_cell_angle_gamma 90.00
loop_
_atom_site_label
_atom_site_fract_x
_atom_site_fract_y
_atom_site_fract_z
Nb1 0.000 0.000 0.000
V1 0.000 0.000 0.500
Fe1 0.250 0.250 0.250
Rh1 0.250 0.250 0.750
```

Energy of formation, eV/atom: -0.075
DOS at the Fermi energy, states/eV per atom: 1.36
Crystal system: cubic